PrP2Pd4: relaxed, PBE.

Results
energy relative to the elements = -0.811 eV/atom
SG = P4_2/mnm (136)

POSCAR file:
```
PrP2Pd4
1.0
7.7548 0.0000 0.0000
0.0000 7.7548 0.0000
0.0000 0.0000 3.8971
Pr P Pd
2 4 8
Direct
0.0000 0.0000 0.0000
0.5000 0.5000 0.5000
0.2219 0.2219 0.5000
0.2781 0.7219 0.0000
0.7219 0.2781 0.0000
0.7781 0.7781 0.5000
0.0849 0.6675 0.5000
0.1675 0.4151 0.0000
0.3325 0.9151 0.5000
0.4151 0.1675 0.0000
0.5849 0.8325 0.0000
0.6675 0.0849 0.5000
0.8325 0.5849 0.0000
0.9151 0.3325 0.5000
```